CsH5Cl4 | PBE-GGA | relaxed

Properties
SG = Immm, No. 71
total energy = -2.665 eV/atom

Unit cell a=6.051 b=8.842 c=7.504 alpha=90.00 beta=90.00 gamma=90.00
Positions (direct):
Cs (0.750, 0.000, 0.000)
Cs (0.250, 0.500, 0.500)
H (0.250, 0.795, 0.793)
H (0.250, 0.205, 0.793)
H (0.750, 0.500, 0.000)
H (0.250, 0.795, 0.207)
H (0.250, 0.205, 0.207)
H (0.750, 0.705, 0.293)
H (0.750, 0.295, 0.293)
H (0.250, 0.000, 0.500)
H (0.750, 0.295, 0.707)
H (0.750, 0.705, 0.707)
Cl (0.250, 0.000, 0.709)
Cl (0.250, 0.751, 0.000)
Cl (0.250, 0.249, 0.000)
Cl (0.250, 0.000, 0.291)
Cl (0.750, 0.500, 0.209)
Cl (0.750, 0.749, 0.500)
Cl (0.750, 0.251, 0.500)
Cl (0.750, 0.500, 0.791)

=====

PmDyOs4 | PBE-GGA | relaxed

Properties
SG = F-43m, No. 216
energy of formation from the pure elements = -194 meV per atom

Unit cell a=5.391 b=5.391 c=5.391 alpha=60.00 beta=60.00 gamma=60.00
Positions (direct):
Pm (0.250, 0.250, 0.250)
Os (0.625, 0.625, 0.125)
Os (0.625, 0.125, 0.625)
Os (0.625, 0.625, 0.625)
Os (0.125, 0.625, 0.625)
Dy (0.000, 0.000, 0.000)

=====

RbNa3 | PBE-GGA | relaxed

Properties
SG = Imm2, No. 44
energy of formation from the pure elements = 51 meV per atom

Unit cell a=4.399 b=6.731 c=7.677 alpha=116.00 beta=106.65 gamma=90.00
Positions (direct):
Na (0.225, 0.640, 0.449)
Na (0.500, 0.419, 0.000)
Na (0.775, 0.190, 0.551)
Rb (0.000, 0.918, 0.000)

=====

Dy3Zr2UN6 | PBE-GGA | relaxed

Properties
SG = C2/m, No. 12
E_form (uncorrected) = -1685 meV per atom

Unit cell a=5.850 b=5.850 c=5.876 alpha=99.43 beta=99.43 gamma=120.09
Positions (direct):
Dy (0.169, 0.831, 0.500)
Dy (0.831, 0.169, 0.500)
Dy (0.500, 0.500, 0.500)
Zr (0.333, 0.667, 0.000)
Zr (0.667, 0.333, 0.000)
U (0.000, 0.000, 0.000)
N (0.923, 0.596, 0.768)
N (0.751, 0.751, 0.228)
N (0.077, 0.404, 0.232)
N (0.596, 0.923, 0.768)
N (0.249, 0.249, 0.772)
N (0.404, 0.077, 0.232)

=====

MnCu | PBE-GGA | relaxed

Properties
SG = Pm-3n, No. 223
energy of formation from the pure elements = 1335 meV per atom

Unit cell a=6.836 b=6.836 c=6.836 alpha=90.00 beta=90.00 gamma=90.00
Last column: magnetic moment on the atom in μB.
Positions (direct):
Mn (0.250, 0.000, 0.500)  3.93
Mn (0.750, 0.000, 0.500)  3.93
Mn (0.000, 0.500, 0.250)  3.93
Mn (0.000, 0.500, 0.750)  3.93
Mn (0.500, 0.250, 0.000)  3.93
Mn (0.500, 0.750, 0.000)  3.93
Cu (0.250, 0.500, 0.000)  0.16
Cu (0.750, 0.500, 0.000)  0.16
Cu (0.500, 0.000, 0.250)  0.16
Cu (0.500, 0.000, 0.750)  0.16
Cu (0.000, 0.250, 0.500)  0.16
Cu (0.000, 0.750, 0.500)  0.16

=====

InBiAu2 | PBE-GGA | relaxed

Properties
SG = I-42d, No. 122
energy of formation from the pure elements = 27 meV per atom

Unit cell a=4.771 b=4.771 c=9.699 alpha=75.76 beta=75.76 gamma=90.00
Positions (direct):
Au (0.589, 0.125, 0.250)
Au (0.161, 0.625, 0.250)
Au (0.375, 0.411, 0.750)
Au (0.875, 0.839, 0.750)
Bi (0.000, 0.000, 0.000)
Bi (0.750, 0.250, 0.500)
In (0.500, 0.500, 0.000)
In (0.250, 0.750, 0.500)

=====

MnNiAgSb2 | PBE-GGA | relaxed

Properties
SG = P4/mmm, No. 123
E_form (uncorrected) = 628 meV per atom

Unit cell a=4.904 b=4.576 c=4.904 alpha=90.00 beta=90.00 gamma=90.00
Last column: magnetic moment on the atom in μB.
Positions (direct):
Sb (0.000, 0.000, 0.500)  -0.02
Sb (0.500, 0.000, 0.000)  -0.07
Mn (0.000, 0.000, 0.000)  2.04
Ag (0.500, 0.500, 0.500)  0.01
Ni (0.000, 0.500, 0.000)  0.72

=====

Ba2UNiS5 | PBE-GGA | relaxed

Properties
SG = Cmc2_1, No. 36
E_form (uncorrected) = -1499 meV per atom

Unit cell a=4.055 b=9.066 c=13.040 alpha=90.00 beta=90.00 gamma=102.92
Last column: magnetic moment on the atom in μB.
Positions (direct):
Ba (0.884, 0.769, 0.840)  0.00
Ba (0.121, 0.242, 0.699)  0.00
Ba (0.116, 0.231, 0.340)  0.00
Ba (0.879, 0.758, 0.199)  0.00
U (0.809, 0.619, 0.521)  1.19
U (0.191, 0.381, 0.021)  1.19
Ni (0.570, 0.141, 0.924)  -0.68
Ni (0.430, 0.859, 0.424)  -0.68
S (0.338, 0.675, 0.019)  -0.03
S (0.696, 0.391, 0.885)  -0.05
S (0.504, 0.009, 0.776)  -0.07
S (0.307, 0.614, 0.659)  -0.04
S (0.953, 0.907, 0.502)  -0.11
S (0.662, 0.325, 0.519)  -0.03
S (0.304, 0.609, 0.385)  -0.05
S (0.496, 0.991, 0.276)  -0.07
S (0.693, 0.386, 0.159)  -0.04
S (0.047, 0.093, 0.002)  -0.11

=====

Nb2BPd | PBE-GGA | relaxed

Properties
SG = I-42d, No. 122
energy of formation from the pure elements = 142 meV per atom

Unit cell a=6.791 b=6.791 c=5.489 alpha=51.79 beta=51.79 gamma=90.00
Positions (direct):
Nb (0.574, 0.125, 0.250)
Nb (0.176, 0.625, 0.250)
Nb (0.375, 0.426, 0.750)
Nb (0.875, 0.824, 0.750)
B (0.500, 0.500, 0.000)
B (0.250, 0.750, 0.500)
Pd (0.000, 0.000, 0.000)
Pd (0.750, 0.250, 0.500)

=====

TlHg2Ir | PBE-GGA | relaxed

Properties
SG = Fm-3m, No. 225
energy relative to the lowest polymorph listed for this composition = 0.332 eV per atom
energy of formation from the pure elements = 609 meV per atom

Unit cell a=4.948 b=4.948 c=4.948 alpha=60.00 beta=60.00 gamma=60.00
Positions (direct):
Tl (0.500, 0.500, 0.500)
Ir (0.000, 0.000, 0.000)
Hg (0.250, 0.250, 0.250)
Hg (0.750, 0.750, 0.750)